(1)
Density functional theory data (PBE) for an optimized crystal structure of NdInCu5.

Cell: 8.414 5.088 10.609 Å, 90.00 90.00 90.00°
Sites, in units of the cell vectors:
1 Nd 0.245 0.250 0.061
2 Nd 0.255 0.750 0.561
3 Nd 0.745 0.250 0.439
4 Nd 0.755 0.750 0.939
5 In 0.139 0.750 0.862
6 In 0.361 0.250 0.362
7 In 0.639 0.750 0.638
8 In 0.861 0.250 0.138
9 Cu 0.055 0.750 0.107
10 Cu 0.068 0.000 0.313
11 Cu 0.068 0.500 0.313
12 Cu 0.082 0.250 0.516
13 Cu 0.184 0.250 0.742
14 Cu 0.316 0.750 0.242
15 Cu 0.418 0.750 0.016
16 Cu 0.432 0.000 0.813
17 Cu 0.432 0.500 0.813
18 Cu 0.445 0.250 0.607
19 Cu 0.555 0.750 0.393
20 Cu 0.568 0.000 0.187
21 Cu 0.568 0.500 0.187
22 Cu 0.582 0.250 0.984
23 Cu 0.684 0.250 0.758
24 Cu 0.816 0.750 0.258
25 Cu 0.918 0.750 0.484
26 Cu 0.932 0.000 0.687
27 Cu 0.932 0.500 0.687
28 Cu 0.945 0.250 0.893

Total magnetization (μB per formula unit): 0.000
Density of states at the Fermi level (states/eV/f.u.): 4.32
ΔE_f (meV/atom): -210
SG: No. 62

***

(2)
Density functional theory data (PBE) for an optimized crystal structure of PmTm2Ga.

Cell: 3.504 3.504 8.868 Å, 90.00 90.00 90.00°
Sites, in units of the cell vectors:
1 Pm 0.000 0.000 0.000
2 Tm 0.500 0.500 0.295
3 Tm 0.500 0.500 0.705
4 Ga 0.000 0.000 0.500

Total magnetization (μB per formula unit): 0.000
Density of states at the Fermi level (states/eV/f.u.): 3.38
ΔE_f (meV/atom): -292
SG: No. 123
Offset from the most stable computed form (meV per atom): 0

***

(3)
Density functional theory data (PBE) for an optimized crystal structure of Y2TaMnH.

Cell: 5.610 5.610 4.479 Å, 90.00 90.00 90.00°
Sites, in units of the cell vectors:
1 Y 0.000 0.500 0.000
2 Y 0.500 0.000 0.000
3 Ta 0.000 0.000 0.000
4 Mn 0.000 0.000 0.500
5 H 0.500 0.500 0.500

Total magnetization (μB per formula unit): 2.770
Density of states at the Fermi level (states/eV/f.u.): 5.53
Uncorrected energy (eV/atom): -6.259
SG: No. 123

***

(4)
Density functional theory data (PBE) for an optimized crystal structure of NbGa3Os.

Cell: 4.736 4.736 4.736 Å, 90.00 90.00 90.00°
Sites, in units of the cell vectors:
1 Nb 0.000 0.000 0.000
2 Ga 0.000 0.500 0.500
3 Ga 0.500 0.000 0.500
4 Ga 0.500 0.500 0.000
5 Os 0.500 0.500 0.500

Total magnetization (μB per formula unit): 3.246
Density of states at the Fermi level (states/eV/f.u.): 4.20
ΔE_f (meV/atom): 677
SG: No. 221
Offset from the most stable computed form (meV per atom): 0

***

(5)
Density functional theory data (PBE) for an optimized crystal structure of Y2ZnCr.

Cell: 3.643 4.586 5.931 Å, 90.00 107.80 90.00°
Sites, in units of the cell vectors:
1 Y 0.000 0.000 0.000
2 Y 0.300 0.500 0.601
3 Zn 0.583 0.500 0.166
4 Cr 0.715 0.000 0.432

Total magnetization (μB per formula unit): 3.207
Density of states at the Fermi level (states/eV/f.u.): 4.55
ΔE_f (meV/atom): 49
SG: No. 6
Offset from the most stable computed form (meV per atom): 35

***

(6)
Density functional theory data (PBE) for an optimized crystal structure of PmTe2O8.

Cell: 6.760 6.760 6.760 Å, 134.31 134.31 66.60°
Sites, in units of the cell vectors:
1 Pm 0.000 0.000 0.000
2 Te 0.250 0.750 0.500
3 Te 0.750 0.250 0.500
4 O 0.049 0.558 0.883
5 O 0.166 0.049 0.490
6 O 0.324 0.442 0.490
7 O 0.442 0.951 0.117
8 O 0.558 0.676 0.510
9 O 0.676 0.166 0.117
10 O 0.834 0.324 0.883
11 O 0.951 0.834 0.510

Total magnetization (μB per formula unit): 0.021
Density of states at the Fermi level (states/eV/f.u.): 8.38
Formation energy (no corrections) (eV per formula unit): -11.56
SG: No. 97
Offset from the most stable computed form (meV per atom): 196